Entry one
Density functional theory data (PBE) for a relaxed ZrSiI2N crystal.

Properties
Fermi-level density of states   0.462 states/eV/atom
Volume   142 Å³ per cell

Geometry as CIF:
```
data_ZrSiI2N
_chemical_formula_sum 'Zr1 Si1 I2 N1'
_symmetry_space_group_name_H-M 'P 4/m m m'
_symmetry_Int_Tables_number 123
_symmetry_space_group_name_Hall '-P 4 2'
_cell_length_a 5.9597
_cell_length_b 5.9597
_cell_length_c 3.9999
_cell_angle_alpha 90.00
_cell_angle_beta 90.00
_cell_angle_gamma 90.00
loop_
_atom_site_label
_atom_site_type_symbol
_atom_site_fract_x
_atom_site_fract_y
_atom_site_fract_z
Zr1 Zr 0.0000 0.0000 0.0000
Si1 Si 0.5000 0.5000 0.5000
I1 I 0.0000 0.5000 0.0000
N1 N 0.0000 0.0000 0.5000
```

---

Entry two
Density functional theory data (PBE) for a relaxed ZrSiI2N crystal.

Properties
Fermi-level density of states   0.675 states/eV/atom
Volume   113 Å³ per cell

Geometry as CIF:
```
data_ZrSiI2N
_chemical_formula_sum 'Zr1 Si1 I2 N1'
_symmetry_space_group_name_H-M 'P 4/m m m'
_symmetry_Int_Tables_number 123
_symmetry_space_group_name_Hall '-P 4 2'
_cell_length_a 5.7586
_cell_length_b 5.7586
_cell_length_c 3.4031
_cell_angle_alpha 90.00
_cell_angle_beta 90.00
_cell_angle_gamma 90.00
loop_
_atom_site_label
_atom_site_type_symbol
_atom_site_fract_x
_atom_site_fract_y
_atom_site_fract_z
Zr1 Zr 0.0000 0.0000 0.0000
Si1 Si 0.5000 0.5000 0.5000
I1 I 0.0000 0.5000 0.5000
N1 N 0.5000 0.5000 0.0000
```

---

Which structure loses on stability? entry two does.

---

Entry one
Density functional theory data (PBE) for a relaxed ZrSiIN2 crystal.

Properties
Fermi-level density of states   0.883 states/eV/atom
Volume   106 Å³ per cell

Geometry as CIF:
```
data_ZrSiIN2
_chemical_formula_sum 'Zr1 Si1 I1 N2'
_symmetry_space_group_name_H-M 'P 4/m m m'
_symmetry_Int_Tables_number 123
_symmetry_space_group_name_Hall '-P 4 2'
_cell_length_a 4.2201
_cell_length_b 4.2201
_cell_length_c 5.9412
_cell_angle_alpha 90.00
_cell_angle_beta 90.00
_cell_angle_gamma 90.00
loop_
_atom_site_label
_atom_site_type_symbol
_atom_site_fract_x
_atom_site_fract_y
_atom_site_fract_z
Zr1 Zr 0.0000 0.0000 0.0000
Si1 Si 0.5000 0.5000 0.5000
I1 I 0.0000 0.0000 0.5000
N1 N 0.0000 0.5000 0.0000
```

---

Entry two
Density functional theory data (PBE) for a relaxed ZrSiIN2 crystal.

Properties
Fermi-level density of states   0.772 states/eV/atom
Volume   78 Å³ per cell

Geometry as CIF:
```
data_ZrSiIN2
_chemical_formula_sum 'Zr1 Si1 I1 N2'
_symmetry_space_group_name_H-M 'P 4/m m m'
_symmetry_Int_Tables_number 123
_symmetry_space_group_name_Hall '-P 4 2'
_cell_length_a 3.8656
_cell_length_b 3.8656
_cell_length_c 5.2165
_cell_angle_alpha 90.00
_cell_angle_beta 90.00
_cell_angle_gamma 90.00
loop_
_atom_site_label
_atom_site_type_symbol
_atom_site_fract_x
_atom_site_fract_y
_atom_site_fract_z
Zr1 Zr 0.0000 0.0000 0.0000
Si1 Si 0.5000 0.5000 0.5000
I1 I 0.5000 0.5000 0.0000
N1 N 0.0000 0.5000 0.5000
```

---

Which structure loses on stability? entry two does.